No. 1
HgF after structural relaxation. Source: the Alexandria database, functional PBE-GGA.

Density ... 6378 kg/m3
Space group ... Pm-3n, No. 223
Formation energy from raw total energies ... -0.84 eV per atom
ΔE to the lowest computed polymorph ... 35.2 kJ/mol of atoms
Spin magnetization ... 0.00 μB/cell
V ... 28.59 Å³/atom

a b c (Å): 7.000 7.000 7.000
angles (deg): 90.00 90.00 90.00
Fractional positions:
Hg  0.250  0.000  0.500
Hg  0.500  0.250  0.000
Hg  0.000  0.500  0.250
Hg  0.000  0.500  0.750
Hg  0.500  0.750  0.000
Hg  0.750  0.000  0.500
F  0.000  0.250  0.500
F  0.000  0.750  0.500
F  0.750  0.500  0.000
F  0.250  0.500  0.000
F  0.500  0.000  0.250
F  0.500  0.000  0.750

---

No. 2
Hg8F after structural relaxation. Source: the Alexandria database, functional PBE-GGA.

Density ... 11521 kg/m3
Space group ... I4/mmm, No. 139
Formation energy from raw total energies ... -0.20 eV per atom
Spin magnetization ... 0.00 μB/cell
V ... 26.00 Å³/atom

a b c (Å): 3.540 8.322 8.322
angles (deg): 87.41 77.72 77.72
Fractional positions:
Hg  0.357  0.000  0.286
Hg  0.643  0.714  0.000
Hg  0.000  0.670  0.330
Hg  0.330  0.670  0.670
Hg  0.643  0.000  0.714
Hg  0.000  0.330  0.670
Hg  0.670  0.330  0.330
Hg  0.357  0.286  0.000
F  0.000  0.000  0.000

---

No. 3
HgF4 after structural relaxation. Source: the Alexandria database, functional PBE-GGA.

Density ... 5770 kg/m3
Space group ... Pm-3m, No. 221
Formation energy from raw total energies ... -0.66 eV per atom
ΔE to the lowest computed polymorph ... 21.3 kJ/mol of atoms
Spin magnetization ... 0.97 μB/cell
V ... 15.92 Å³/atom

a b c (Å): 4.302 4.302 4.302
angles (deg): 90.00 90.00 90.00
Fractional positions:
F  0.500  0.500  0.000
F  0.500  0.000  0.500
F  0.000  0.500  0.500
F  0.000  0.000  0.000
Hg  0.500  0.500  0.500

---

Number 1: energy -1.929 eV/atom. Number 2: energy -0.679 eV/atom. Number 3: energy -2.219 eV/atom.